# Ca2Ta2Sb PBE relaxed
# Uncorrected formation energy ... 1.027 eV per atom
# DFT total energy ... -5.3391 eV per atom
data_Ca2Ta2Sb
_cell_length_a 4.134
_cell_length_b 4.134
_cell_length_c 15.019
_cell_angle_alpha 90.00
_cell_angle_beta 90.00
_cell_angle_gamma 90.00
_symmetry_space_group_name_H-M 'I 4/m m m'
_symmetry_Int_Tables_number 139
_symmetry_space_group_name_Hall '-I 4 2'
loop_
_atom_site_label
_atom_site_fract_x
_atom_site_fract_y
_atom_site_fract_z
Ca1 0.000 0.500 0.250
Ta1 0.000 0.000 0.080
Sb1 0.000 0.000 0.500

=====

# CaTa2Sb PBE relaxed
# Uncorrected formation energy ... 0.063 eV per atom
# DFT total energy ... -7.3948 eV per atom
data_CaTa2Sb
_cell_length_a 3.576
_cell_length_b 3.536
_cell_length_c 7.296
_cell_angle_alpha 90.00
_cell_angle_beta 90.08
_cell_angle_gamma 90.00
_symmetry_space_group_name_H-M 'P 1 m 1'
_symmetry_Int_Tables_number 6
loop_
_symmetry_equiv_pos_as_xyz
'x,y,z'
'x,-y,z'
loop_
_atom_site_label
_atom_site_fract_x
_atom_site_fract_y
_atom_site_fract_z
Ca1 0.000 0.000 0.000
Ta1 0.500 0.500 0.697
Ta2 0.999 0.000 0.526
Sb1 0.499 0.500 0.298

=====

# CaTaSb PBE relaxed
# Uncorrected formation energy ... -0.156 eV per atom
# DFT total energy ... -6.1479 eV per atom
data_CaTaSb
_cell_length_a 5.926
_cell_length_b 4.002
_cell_length_c 12.839
_cell_angle_alpha 90.00
_cell_angle_beta 90.00
_cell_angle_gamma 90.00
_symmetry_space_group_name_H-M 'A m m 2'
_symmetry_Int_Tables_number 38
loop_
_symmetry_equiv_pos_as_xyz
'x,y,z'
'-x,-y,z'
'-x,y,z'
'x,-y,z'
'x,y+1/2,z+1/2'
'-x,-y+1/2,z+1/2'
'-x,y+1/2,z+1/2'
'x,-y+1/2,z+1/2'
loop_
_atom_site_label
_atom_site_fract_x
_atom_site_fract_y
_atom_site_fract_z
Ca1 0.000 0.000 0.000
Ca2 0.500 0.000 0.376
Ta1 0.228 0.000 0.687
Sb1 0.000 0.000 0.306
Sb2 0.500 0.000 0.079

=====

# CaTa2Sb PBE relaxed
# Uncorrected formation energy ... 0.339 eV per atom
# DFT total energy ... -7.1187 eV per atom
data_CaTa2Sb
_cell_length_a 10.773
_cell_length_b 3.140
_cell_length_c 5.254
_cell_angle_alpha 90.00
_cell_angle_beta 101.96
_cell_angle_gamma 90.00
_symmetry_space_group_name_H-M 'C 1 2/m 1'
_symmetry_Int_Tables_number 12
loop_
_symmetry_equiv_pos_as_xyz
'x,y,z'
'-x,-y,-z'
'-x,y,-z'
'x,-y,z'
'x+1/2,y+1/2,z'
'-x+1/2,-y+1/2,-z'
'-x+1/2,y+1/2,-z'
'x+1/2,-y+1/2,z'
loop_
_atom_site_label
_atom_site_fract_x
_atom_site_fract_y
_atom_site_fract_z
Ca1 0.000 0.000 0.000
Ta1 0.234 0.000 0.725
Sb1 0.000 0.500 0.500

=====

# CaTaSb2Te PBE relaxed
# Offset from the most stable computed form ... 0 meV per atom
# Uncorrected formation energy ... -0.049 eV per atom
# DFT total energy ... -5.0975 eV per atom
data_CaTaSb2Te
_cell_length_a 5.368
_cell_length_b 5.368
_cell_length_c 5.585
_cell_angle_alpha 90.00
_cell_angle_beta 90.00
_cell_angle_gamma 90.00
_symmetry_space_group_name_H-M 'P 4/m m m'
_symmetry_Int_Tables_number 123
_symmetry_space_group_name_Hall '-P 4 2'
loop_
_atom_site_label
_atom_site_fract_x
_atom_site_fract_y
_atom_site_fract_z
Ca1 0.000 0.000 0.000
Ta1 0.500 0.500 0.500
Sb1 0.000 0.500 0.500
Te1 0.500 0.500 0.000

=====

# CaTaTl2Sb PBE relaxed
# Uncorrected formation energy ... 1.235 eV per atom
# DFT total energy ... -3.3066 eV per atom
data_CaTaTl2Sb
_cell_length_a 5.710
_cell_length_b 5.710
_cell_length_c 5.785
_cell_angle_alpha 90.00
_cell_angle_beta 90.00
_cell_angle_gamma 90.00
_symmetry_space_group_name_H-M 'P 4/m m m'
_symmetry_Int_Tables_number 123
_symmetry_space_group_name_Hall '-P 4 2'
loop_
_atom_site_label
_atom_site_fract_x
_atom_site_fract_y
_atom_site_fract_z
Ca1 0.000 0.000 0.000
Ta1 0.500 0.500 0.000
Tl1 0.000 0.500 0.500
Sb1 0.000 0.000 0.500

=====

# CaTb4Sb5 PBE relaxed
# Uncorrected formation energy ... -1.068 eV per atom
# DFT total energy ... -5.1816 eV per atom
data_CaTb4Sb5
_cell_length_a 4.414
_cell_length_b 6.259
_cell_length_c 22.224
_cell_angle_alpha 90.00
_cell_angle_beta 90.00
_cell_angle_gamma 90.00
_symmetry_space_group_name_H-M 'I m m m'
_symmetry_Int_Tables_number 71
_symmetry_space_group_name_Hall '-I 2 2'
loop_
_atom_site_label
_atom_site_fract_x
_atom_site_fract_y
_atom_site_fract_z
Ca1 0.000 0.000 0.000
Tb1 0.000 0.000 0.201
Tb2 0.000 0.000 0.401
Sb1 0.000 0.500 0.000
Sb2 0.000 0.500 0.199
Sb3 0.000 0.500 0.396

=====

# CaTb5Sb6 PBE relaxed
# Uncorrected formation energy ... -1.087 eV per atom
# DFT total energy ... -5.2440 eV per atom
data_CaTb5Sb6
_cell_length_a 7.645
_cell_length_b 13.254
_cell_length_c 7.683
_cell_angle_alpha 90.00
_cell_angle_beta 109.38
_cell_angle_gamma 90.00
_symmetry_space_group_name_H-M 'C 1 2/m 1'
_symmetry_Int_Tables_number 12
loop_
_symmetry_equiv_pos_as_xyz
'x,y,z'
'-x,-y,-z'
'-x,y,-z'
'x,-y,z'
'x+1/2,y+1/2,z'
'-x+1/2,-y+1/2,-z'
'-x+1/2,y+1/2,-z'
'x+1/2,-y+1/2,z'
loop_
_atom_site_label
_atom_site_fract_x
_atom_site_fract_y
_atom_site_fract_z
Ca1 0.000 0.000 0.000
Tb1 0.000 0.165 0.500
Tb2 0.000 0.333 0.000
Tb3 0.000 0.500 0.500
Sb1 0.246 0.500 0.252
Sb2 0.247 0.331 0.747

=====

# CaTb5Sb4 PBE relaxed
# Uncorrected formation energy ... -0.692 eV per atom
# DFT total energy ... -4.8566 eV per atom
data_CaTb5Sb4
_cell_length_a 18.880
_cell_length_b 4.336
_cell_length_c 8.591
_cell_angle_alpha 90.00
_cell_angle_beta 106.08
_cell_angle_gamma 90.00
_symmetry_space_group_name_H-M 'C 1 2/m 1'
_symmetry_Int_Tables_number 12
loop_
_symmetry_equiv_pos_as_xyz
'x,y,z'
'-x,-y,-z'
'-x,y,-z'
'x,-y,z'
'x+1/2,y+1/2,z'
'-x+1/2,-y+1/2,-z'
'-x+1/2,y+1/2,-z'
'x+1/2,-y+1/2,z'
loop_
_atom_site_label
_atom_site_fract_x
_atom_site_fract_y
_atom_site_fract_z
Ca1 0.000 0.000 0.000
Tb1 0.000 0.000 0.500
Tb2 0.161 0.500 0.830
Tb3 0.176 0.500 0.348
Sb1 0.008 0.500 0.261
Sb2 0.172 0.000 0.092

=====

# CaTb3Sb3 PBE relaxed
# Uncorrected formation energy ... -0.909 eV per atom
# DFT total energy ... -4.9461 eV per atom
data_CaTb3Sb3
_cell_length_a 9.1020
_cell_length_b 9.1020
_cell_length_c 18.5192
_cell_angle_alpha 90.00
_cell_angle_beta 90.00
_cell_angle_gamma 120.00
_symmetry_space_group_name_H-M 'R -3'
_symmetry_Int_Tables_number 148
_symmetry_space_group_name_Hall '-R 3'
loop_
_atom_site_label
_atom_site_fract_x
_atom_site_fract_y
_atom_site_fract_z
Ca1 0.0000 0.0000 0.1663
Tb1 0.0039 0.7364 0.5855
Sb1 0.0057 0.6219 0.4182

=====

# CaTbTm2Sb4 PBE relaxed
# Uncorrected formation energy ... -1.011 eV per atom
# DFT total energy ... -5.0189 eV per atom
data_CaTbTm2Sb4
_cell_length_a 7.633
_cell_length_b 4.362
_cell_length_c 7.654
_cell_angle_alpha 90.00
_cell_angle_beta 109.03
_cell_angle_gamma 90.00
_symmetry_space_group_name_H-M 'P 1 2/m 1'
_symmetry_Int_Tables_number 10
loop_
_symmetry_equiv_pos_as_xyz
'x,y,z'
'-x,-y,-z'
'-x,y,-z'
'x,-y,z'
loop_
_atom_site_label
_atom_site_fract_x
_atom_site_fract_y
_atom_site_fract_z
Ca1 0.000 0.000 0.000
Tb1 0.500 0.500 0.000
Tm1 0.000 0.500 0.500
Tm2 0.500 0.000 0.500
Sb1 0.251 0.000 0.743
Sb2 0.257 0.500 0.260

=====

# CaTb2USb4 PBE relaxed
# Uncorrected formation energy ... -0.839 eV per atom
# DFT total energy ... -5.7189 eV per atom
data_CaTb2USb4
_cell_length_a 7.649
_cell_length_b 4.417
_cell_length_c 7.661
_cell_angle_alpha 90.00
_cell_angle_beta 109.01
_cell_angle_gamma 90.00
_symmetry_space_group_name_H-M 'P 1 2/m 1'
_symmetry_Int_Tables_number 10
loop_
_symmetry_equiv_pos_as_xyz
'x,y,z'
'-x,-y,-z'
'-x,y,-z'
'x,-y,z'
loop_
_atom_site_label
_atom_site_fract_x
_atom_site_fract_y
_atom_site_fract_z
Ca1 0.000 0.000 0.000
Tb1 0.000 0.500 0.500
Tb2 0.500 0.000 0.500
U1 0.500 0.500 0.000
Sb1 0.255 0.000 0.751
Sb2 0.258 0.500 0.251